No. 1
Crystalline Al2RuW at its relaxed geometry. Source: the Alexandria database, functional PBE.

Cell and atoms, written as CIF:
```
data_Al2RuW
_cell_length_a 2.983
_cell_length_b 4.352
_cell_length_c 9.110
_cell_angle_alpha 90.00
_cell_angle_beta 90.00
_cell_angle_gamma 90.00
_symmetry_space_group_name_H-M 'I m m 2'
_symmetry_Int_Tables_number 44
_symmetry_space_group_name_Hall 'I 2 -2'
loop_
_atom_site_label
_atom_site_type_symbol
_atom_site_fract_x
_atom_site_fract_y
_atom_site_fract_z
Al1 Al 0.000 0.000 0.000
Al2 Al 0.000 0.500 0.227
Ru1 Ru 0.000 0.500 0.731
W1 W 0.000 0.000 0.472
```

---

No. 2
Crystalline Al2RuW at its relaxed geometry. Source: the Alexandria database, functional PBE.

Cell and atoms, written as CIF:
```
data_Al2RuW
_cell_length_a 6.152
_cell_length_b 6.152
_cell_length_c 6.152
_cell_angle_alpha 90.00
_cell_angle_beta 90.00
_cell_angle_gamma 90.00
_symmetry_space_group_name_H-M 'F m -3 m'
_symmetry_Int_Tables_number 225
_symmetry_space_group_name_Hall '-F 4 2 3'
loop_
_atom_site_label
_atom_site_type_symbol
_atom_site_fract_x
_atom_site_fract_y
_atom_site_fract_z
Al1 Al 0.250 0.250 0.250
Ru1 Ru 0.000 0.000 0.000
W1 W 0.000 0.000 0.500
```

---

No. 3
Crystalline AlRuW at its relaxed geometry. Source: the Alexandria database, functional PBE.

Cell and atoms, written as CIF:
```
data_AlRuW
_cell_length_a 4.3474
_cell_length_b 4.3474
_cell_length_c 5.3914
_cell_angle_alpha 90.00
_cell_angle_beta 90.00
_cell_angle_gamma 120.00
_symmetry_space_group_name_H-M 'P 3 m 1'
_symmetry_Int_Tables_number 156
_symmetry_space_group_name_Hall 'P 3 -2"'
loop_
_atom_site_label
_atom_site_type_symbol
_atom_site_fract_x
_atom_site_fract_y
_atom_site_fract_z
Al1 Al 0.0000 0.0000 0.0000
Al2 Al 0.3333 0.6667 0.6789
Ru1 Ru 0.0000 0.0000 0.5075
Ru2 Ru 0.6667 0.3333 0.8551
W1 W 0.3333 0.6667 0.1782
W2 W 0.6667 0.3333 0.3585
```

---

No. 4
Crystalline AlRuW at its relaxed geometry. Source: the Alexandria database, functional PBE.

Cell and atoms, written as CIF:
```
data_AlRuW
_cell_length_a 8.426
_cell_length_b 4.598
_cell_length_c 5.506
_cell_angle_alpha 90.00
_cell_angle_beta 123.01
_cell_angle_gamma 90.00
_symmetry_space_group_name_H-M 'C 1 c 1'
_symmetry_Int_Tables_number 9
_symmetry_space_group_name_Hall 'C -2yc'
loop_
_atom_site_label
_atom_site_type_symbol
_atom_site_fract_x
_atom_site_fract_y
_atom_site_fract_z
Al1 Al 0.000 0.063 0.000
Ru1 Ru 0.172 0.429 0.502
W1 W 0.336 0.052 0.024
```

---

No. 5
Crystalline Al4Ru5W at its relaxed geometry. Source: the Alexandria database, functional PBE.

Cell and atoms, written as CIF:
```
data_Al4Ru5W
_cell_length_a 3.020
_cell_length_b 3.020
_cell_length_c 15.239
_cell_angle_alpha 90.00
_cell_angle_beta 90.00
_cell_angle_gamma 90.00
_symmetry_space_group_name_H-M 'P 4/m m m'
_symmetry_Int_Tables_number 123
_symmetry_space_group_name_Hall '-P 4 2'
loop_
_atom_site_label
_atom_site_type_symbol
_atom_site_fract_x
_atom_site_fract_y
_atom_site_fract_z
Al1 Al 0.000 0.000 0.098
Al2 Al 0.000 0.000 0.291
Ru1 Ru 0.500 0.500 0.000
Ru2 Ru 0.500 0.500 0.197
Ru3 Ru 0.500 0.500 0.395
W1 W 0.000 0.000 0.500
```

---

No. 6
Crystalline Al3Ru4W at its relaxed geometry. Source: the Alexandria database, functional PBE.

Cell and atoms, written as CIF:
```
data_Al3Ru4W
_cell_length_a 3.072
_cell_length_b 4.311
_cell_length_c 8.488
_cell_angle_alpha 90.00
_cell_angle_beta 90.00
_cell_angle_gamma 90.00
_symmetry_space_group_name_H-M 'P m m m'
_symmetry_Int_Tables_number 47
_symmetry_space_group_name_Hall '-P 2 2'
loop_
_atom_site_label
_atom_site_type_symbol
_atom_site_fract_x
_atom_site_fract_y
_atom_site_fract_z
Al1 Al 0.000 0.000 0.000
Al2 Al 0.000 0.500 0.243
Ru1 Ru 0.500 0.000 0.254
Ru2 Ru 0.500 0.500 0.000
Ru3 Ru 0.500 0.500 0.500
W1 W 0.000 0.000 0.500
```

---

No. 7
Crystalline Al2RuW at its relaxed geometry. Source: the Alexandria database, functional PBE.

Cell and atoms, written as CIF:
```
data_Al2RuW
_cell_length_a 3.873
_cell_length_b 3.873
_cell_length_c 7.908
_cell_angle_alpha 90.00
_cell_angle_beta 90.00
_cell_angle_gamma 90.00
_symmetry_space_group_name_H-M 'I 4/m m m'
_symmetry_Int_Tables_number 139
_symmetry_space_group_name_Hall '-I 4 2'
loop_
_atom_site_label
_atom_site_type_symbol
_atom_site_fract_x
_atom_site_fract_y
_atom_site_fract_z
Al1 Al 0.000 0.500 0.250
Ru1 Ru 0.000 0.000 0.000
W1 W 0.000 0.000 0.500
```

---

No. 8
Crystalline AlRuW at its relaxed geometry. Source: the Alexandria database, functional PBE.

Cell and atoms, written as CIF:
```
data_AlRuW
_cell_length_a 5.918
_cell_length_b 5.918
_cell_length_c 5.918
_cell_angle_alpha 90.00
_cell_angle_beta 90.00
_cell_angle_gamma 90.00
_symmetry_space_group_name_H-M 'F -4 3 m'
_symmetry_Int_Tables_number 216
_symmetry_space_group_name_Hall 'F -4 2 3'
loop_
_atom_site_label
_atom_site_type_symbol
_atom_site_fract_x
_atom_site_fract_y
_atom_site_fract_z
Al1 Al 0.000 0.000 0.000
Ru1 Ru 0.250 0.250 0.750
W1 W 0.000 0.000 0.500
```

---

No. 9
Crystalline AlRuW4 at its relaxed geometry. Source: the Alexandria database, functional PBE.

Cell and atoms, written as CIF:
```
data_AlRuW4
_cell_length_a 7.384
_cell_length_b 7.384
_cell_length_c 7.384
_cell_angle_alpha 90.00
_cell_angle_beta 90.00
_cell_angle_gamma 90.00
_symmetry_space_group_name_H-M 'F -4 3 m'
_symmetry_Int_Tables_number 216
_symmetry_space_group_name_Hall 'F -4 2 3'
loop_
_atom_site_label
_atom_site_type_symbol
_atom_site_fract_x
_atom_site_fract_y
_atom_site_fract_z
Al1 Al 0.000 0.000 0.000
Ru1 Ru 0.250 0.250 0.250
W1 W 0.126 0.126 0.626
```

---

No. 10
Crystalline AlRuW at its relaxed geometry. Source: the Alexandria database, functional PBE.

Cell and atoms, written as CIF:
```
data_AlRuW
_cell_length_a 10.142
_cell_length_b 3.060
_cell_length_c 6.039
_cell_angle_alpha 90.00
_cell_angle_beta 108.09
_cell_angle_gamma 90.00
_symmetry_space_group_name_H-M 'C 1 2/m 1'
_symmetry_Int_Tables_number 12
_symmetry_space_group_name_Hall '-C 2y'
loop_
_atom_site_label
_atom_site_type_symbol
_atom_site_fract_x
_atom_site_fract_y
_atom_site_fract_z
Al1 Al 0.151 0.000 0.330
Ru1 Ru 0.000 0.500 0.000
Ru2 Ru 0.000 0.500 0.500
W1 W 0.172 0.000 0.836
```

---

No. 11
Crystalline Al2RuW at its relaxed geometry. Source: the Alexandria database, functional PBE.

Cell and atoms, written as CIF:
```
data_Al2RuW
_cell_length_a 6.184
_cell_length_b 6.184
_cell_length_c 6.184
_cell_angle_alpha 90.00
_cell_angle_beta 90.00
_cell_angle_gamma 90.00
_symmetry_space_group_name_H-M 'F -4 3 m'
_symmetry_Int_Tables_number 216
_symmetry_space_group_name_Hall 'F -4 2 3'
loop_
_atom_site_label
_atom_site_type_symbol
_atom_site_fract_x
_atom_site_fract_y
_atom_site_fract_z
Al1 Al 0.000 0.000 0.000
Al2 Al 0.250 0.250 0.250
Ru1 Ru 0.000 0.000 0.500
W1 W 0.250 0.250 0.750
```

---

No. 12
Crystalline Al2RuW at its relaxed geometry. Source: the Alexandria database, functional PBE.

Cell and atoms, written as CIF:
```
data_Al2RuW
_cell_length_a 5.420
_cell_length_b 8.357
_cell_length_c 2.794
_cell_angle_alpha 90.00
_cell_angle_beta 110.30
_cell_angle_gamma 90.00
_symmetry_space_group_name_H-M 'C 1 2/m 1'
_symmetry_Int_Tables_number 12
_symmetry_space_group_name_Hall '-C 2y'
loop_
_atom_site_label
_atom_site_type_symbol
_atom_site_fract_x
_atom_site_fract_y
_atom_site_fract_z
Al1 Al 0.250 0.250 0.000
Ru1 Ru 0.000 0.000 0.500
W1 W 0.000 0.500 0.500
```

---

In μB/f.u., the spin magnetization values for the records above are, in order, 0.00, 1.75, 0.00, 0.00, 0.00, 0.00, 0.00, 0.00, 0.00, 0.00, 0.00, 0.00.
In eV/atom, the formation energy from the elements values for the records above are, in order, -0.1975, -0.0616, -0.2464, -0.1366, -0.5577, -0.5520, -0.0579, 0.0411, 0.4668, -0.2008, -0.0649, -0.1234.